Record 1
Density functional theory data (GGA-PBE) for an optimized crystal structure of PuCo2P.

Summary:
E   -72.1 eV for the cell shown
DOS(E_F)   17.1 states/eV per cell
Energy of formation from the pure elements   -2.105 eV/f.u.
Space group   P4/nmm

a = 3.654 Å, b = 3.654 Å, c = 8.945 Å
α = 90.00°, β = 90.00°, γ = 90.00°
Site moments in Bohr magnetons follow the coordinates.
Element x y z (fractional)
P (0.500, 0.000, 0.641)  -0.03
Co (0.000, 0.000, 0.500)  0.21
Pu (0.500, 0.000, 0.207)  4.94
P (0.000, 0.500, 0.359)  -0.03
Co (0.000, 0.500, 0.101)  -0.86
Co (0.500, 0.500, 0.500)  0.21
Pu (0.000, 0.500, 0.793)  4.94
Co (0.500, 0.000, 0.899)  -0.86

Record 2
Density functional theory data (GGA-PBE) for an optimized crystal structure of TmPuCo2P2.

Summary:
E   -49.6 eV for the cell shown
DOS(E_F)   11.6 states/eV per cell
Energy of formation from the pure elements   -5.789 eV/f.u.
Space group   P-3m1

a = 3.847 Å, b = 3.847 Å, c = 7.708 Å
α = 90.00°, β = 90.00°, γ = 120.00°
Site moments in Bohr magnetons follow the coordinates.
Element x y z (fractional)
Co (0.333, 0.667, 0.766)  -0.63
Pu (0.000, 0.000, 0.000)  4.90
Tm (0.000, 0.000, 0.500)  0.11
P (0.667, 0.333, 0.738)  -0.07
P (0.333, 0.667, 0.262)  -0.07
Co (0.667, 0.333, 0.234)  -0.63

Record 3
Density functional theory data (GGA-PBE) for an optimized crystal structure of PuUCo2P2.

Summary:
E   -56.0 eV for the cell shown
DOS(E_F)   10.6 states/eV per cell
Energy of formation from the pure elements   -5.361 eV/f.u.
Space group   P-3m1

a = 3.865 Å, b = 3.865 Å, c = 7.589 Å
α = 90.00°, β = 90.00°, γ = 120.00°
Site moments in Bohr magnetons follow the coordinates.
Element x y z (fractional)
P (0.667, 0.333, 0.741)  -0.07
U (0.000, 0.000, 0.000)  1.35
P (0.333, 0.667, 0.259)  -0.07
Co (0.333, 0.667, 0.789)  -0.41
Co (0.667, 0.333, 0.211)  -0.41
Pu (0.000, 0.000, 0.500)  5.03

Record 4
Density functional theory data (GGA-PBE) for an optimized crystal structure of RbCoP.

Summary:
E   -27.8 eV for the cell shown
DOS(E_F)   1.8 states/eV per cell
Energy of formation from the pure elements   -0.415 eV/f.u.
Space group   P1

a = 6.980 Å, b = 6.544 Å, c = 3.731 Å
α = 90.00°, β = 105.61°, γ = 117.74°
Element x y z (fractional)
Rb (0.780, 0.086, 0.213)
P (0.225, 0.320, 0.937)
Co (0.225, 0.635, 0.937)
Rb (0.670, 0.531, 0.661)
P (0.225, 0.820, 0.437)
Co (0.225, 0.005, 0.937)

Record 5
Density functional theory data (GGA-PBE) for an optimized crystal structure of RbCoP.

Summary:
E   -28.6 eV for the cell shown
DOS(E_F)   4.9 states/eV per cell
Energy of formation from the pure elements   -0.837 eV/f.u.
Space group   P-1

a = 12.658 Å, b = 3.765 Å, c = 3.765 Å
α = 60.00°, β = 89.00°, γ = 77.06°
Site moments in Bohr magnetons follow the coordinates.
Element x y z (fractional)
Co (0.370, 0.910, 0.169)  0.23
P (0.193, 0.080, 0.094)  0.00
Rb (0.989, 0.943, 0.675)  0.00
Rb (0.616, 0.339, 0.940)  0.00
Co (0.235, 0.373, 0.445)  0.23
P (0.412, 0.202, 0.520)  0.00

Record 6
Density functional theory data (GGA-PBE) for an optimized crystal structure of RbCo2P.

Summary:
E   -38.9 eV for the cell shown
DOS(E_F)   11.4 states/eV per cell
Energy of formation from the pure elements   1.138 eV/f.u.
Space group   I4_1/amd

a = 4.980 Å, b = 4.980 Å, c = 8.136 Å
α = 72.18°, β = 72.18°, γ = 90.00°
Site moments in Bohr magnetons follow the coordinates.
Element x y z (fractional)
P (0.500, 0.500, 0.000)  0.06
Co (0.375, 0.625, 0.250)  1.55
Co (0.875, 0.625, 0.750)  1.35
Co (0.375, 0.125, 0.250)  1.52
Co (0.375, 0.625, 0.750)  1.20
Rb (0.750, 0.250, 0.500)  -0.01
Rb (0.000, 0.000, 0.000)  -0.01
P (0.250, 0.750, 0.500)  0.06

> Which of these has the lowest DOS(E_F)?

number 4